Nd6SbP2S3 after structural relaxation, computed with PBE-GGA.

Cell: 9.3544 9.3544 8.3926 Å, 102.58 102.58 25.84°
With the nearest neighbours (Å) after each atom.
Fractional positions:
Nd: 0.0034 0.0034 0.2685  3 S 2.87-2.99, 1 P 2.92, 2 Sb 3.06
Nd: 0.3265 0.3265 0.9035  3 S 2.88-3.02, 2 P 2.91, 1 Sb 3.09
Nd: 0.3306 0.3306 0.4209  3 P 2.90-2.92, 3 S 3.00-3.01
Nd: 0.6694 0.6694 0.5791  3 P 2.90-2.92, 3 S 3.00-3.01
Nd: 0.6735 0.6735 0.0965  3 S 2.88-3.02, 2 P 2.91, 1 Sb 3.09
Nd: 0.9966 0.9966 0.7315  3 S 2.87-2.99, 1 P 2.92, 2 Sb 3.06
Sb: 0.5000 0.5000 0.0000  6 Nd 3.06-3.09
P: 0.1677 0.1677 0.3352  6 Nd 2.90-2.92
P: 0.8323 0.8323 0.6648  6 Nd 2.90-2.92
S: 0.1645 0.1645 0.8328  6 Nd 2.88-3.02
S: 0.5000 0.5000 0.5000  6 Nd 2.87-3.01
S: 0.8355 0.8355 0.1672  6 Nd 2.88-3.02

Output
Space group ... C2/m, No. 12
Spin magnetization ... 0.00 μB/f.u.
Crystal system ... monoclinic
DOS at the Fermi energy ... 4.2 states/eV/cell
Raw formation energy ... -1.7331 eV per atom

***

LiY2Se after structural relaxation, computed with PBE-GGA.

Cell: 6.3326 6.3326 6.3326 Å, 147.38 134.29 57.28°
With the nearest neighbours (Å) after each atom.
Fractional positions:
Li: 0.0000 0.0000 0.0000  2 Se 2.71
Y: 0.3096 0.8096 0.5000  4 Se 3.04, 2 Li 3.24
Y: 0.5902 0.5902 0.0000  2 Se 3.08, 4 Li 3.20
Se: 0.8165 0.3165 0.5000  2 Li 2.71

Output
Space group ... Imm2, No. 44
Spin magnetization ... 0.00 μB/f.u.
Crystal system ... orthorhombic
DOS at the Fermi energy ... 3.7 states/eV/cell
Raw formation energy ... -0.6183 eV per atom